Compound: Ca2Ta2FeO8
Source: Alexandria
Functional: GGA+U
Structure: relaxed

Values from the calculation:
D(E_F)   0.00 states/eV/cell
Total energy   -8.332 eV per atom
M_tot   8.00 μB per cell

abc: 10.0818 10.0818 5.4572
angles: 92.32 92.32 37.23
Positions (direct):
Ca (0.0367, 0.3815, 0.2436)
Ca (0.3815, 0.0367, 0.7436)
Ca (0.6185, 0.9633, 0.2564)
Ca (0.9633, 0.6185, 0.7564)
Ta (0.2406, 0.5334, 0.2534)
Ta (0.4666, 0.7594, 0.2466)
Ta (0.5334, 0.2406, 0.7534)
Ta (0.7594, 0.4666, 0.7466)
Fe (0.1423, 0.8577, 0.7500)
Fe (0.8577, 0.1423, 0.2500)
O (0.0293, 0.3415, 0.8390)
O (0.0951, 0.7899, 0.4217)
O (0.2101, 0.9049, 0.0783)
O (0.2541, 0.3812, 0.5107)
O (0.3079, 0.5490, 0.9226)
O (0.3415, 0.0293, 0.3390)
O (0.3812, 0.2541, 0.0107)
O (0.4510, 0.6921, 0.5774)
O (0.5490, 0.3079, 0.4226)
O (0.6188, 0.7459, 0.9893)
O (0.6585, 0.9707, 0.6610)
O (0.6921, 0.4510, 0.0774)
O (0.7459, 0.6188, 0.4893)
O (0.7899, 0.0951, 0.9217)
O (0.9049, 0.2101, 0.5783)
O (0.9707, 0.6585, 0.1610)

Compound: Ca2FeTcO6
Source: Alexandria
Functional: GGA+U
Structure: relaxed

Values from the calculation:
D(E_F)   5.92 states/eV/cell
Total energy   -7.058 eV per atom
M_tot   6.88 μB per cell

abc: 5.4849 5.4849 5.4849
angles: 60.70 60.70 60.70
Positions (direct):
Ca (0.2484, 0.2484, 0.2484)
Ca (0.7516, 0.7516, 0.7516)
Fe (0.5000, 0.5000, 0.5000)
Tc (0.0000, 0.0000, 0.0000)
O (0.1687, 0.7542, 0.3259)
O (0.2458, 0.6741, 0.8313)
O (0.3259, 0.1687, 0.7542)
O (0.6741, 0.8313, 0.2458)
O (0.7542, 0.3259, 0.1687)
O (0.8313, 0.2458, 0.6741)

Compound: CaFe2TcO6
Source: Alexandria
Functional: GGA+U
Structure: relaxed

Values from the calculation:
D(E_F)   3.82 states/eV/cell
Total energy   -7.033 eV per atom
M_tot   11.00 μB per cell

abc: 5.2699 5.3402 5.7305
angles: 92.15 115.57 119.29
Positions (direct):
Ca (0.0000, 0.0000, 0.0000)
Fe (0.5581, 0.2788, 0.8373)
Fe (0.5796, 0.7952, 0.3671)
Tc (0.9641, 0.4776, 0.4455)
O (0.0701, 0.2178, 0.6318)
O (0.0985, 0.4471, 0.1772)
O (0.4412, 0.8730, 0.6420)
O (0.5230, 0.0823, 0.1816)
O (0.7362, 0.6496, 0.1699)
O (0.7853, 0.5862, 0.6352)

Compound: CaFeTe2O6
Source: Alexandria
Functional: GGA+U
Structure: relaxed

Values from the calculation:
D(E_F)   0.00 states/eV/cell
Total energy   -5.850 eV per atom
M_tot   4.00 μB per cell

abc: 5.5525 5.5556 6.3876
angles: 65.54 65.55 60.43
Positions (direct):
Ca (0.0000, 0.0000, 0.0000)
Fe (0.4907, 0.4690, 0.5527)
Te (0.2811, 0.2613, 0.1888)
Te (0.7881, 0.7809, 0.6437)
O (0.0559, 0.6889, 0.8130)
O (0.2442, 0.5097, 0.3529)
O (0.4417, 0.0425, 0.8129)
O (0.5342, 0.8908, 0.3339)
O (0.7058, 0.4336, 0.7870)
O (0.9174, 0.2229, 0.3216)

Compound: CaFeTe2O8
Source: Alexandria
Functional: GGA+U
Structure: relaxed

Values from the calculation:
Total energy   -5.712 eV per atom
M_tot   4.00 μB per cell

abc: 6.1433 6.1433 6.1433
angles: 107.21 107.21 114.10
Positions (direct):
Ca (0.0000, 0.0000, 0.0000)
Fe (0.2500, 0.7500, 0.5000)
Te (0.5000, 0.5000, 0.0000)
Te (0.7500, 0.2500, 0.5000)
O (0.3221, 0.1265, 0.8044)
O (0.3221, 0.5177, 0.1956)
O (0.3793, 0.0681, 0.3112)
O (0.4823, 0.6779, 0.8044)
O (0.7569, 0.0681, 0.6888)
O (0.8735, 0.6779, 0.1956)
O (0.9319, 0.2431, 0.3112)
O (0.9319, 0.6207, 0.6888)

Compound: CaFeTeO6
Source: Alexandria
Functional: GGA+U
Structure: relaxed

Values from the calculation:
Total energy   -6.026 eV per atom
M_tot   4.03 μB per cell

abc: 5.1059 5.1059 10.2380
angles: 90.00 90.00 120.00
Positions (direct):
Ca (0.0000, 0.0000, 0.0000)
Ca (0.0000, 0.0000, 0.5000)
Fe (0.3333, 0.6667, 0.2500)
Fe (0.6667, 0.3333, 0.7500)
Te (0.3333, 0.6667, 0.7500)
Te (0.6667, 0.3333, 0.2500)
O (0.0043, 0.3775, 0.1441)
O (0.0043, 0.6268, 0.3559)
O (0.3732, 0.3775, 0.3559)
O (0.3732, 0.9957, 0.1441)
O (0.3775, 0.0043, 0.6441)
O (0.3775, 0.3732, 0.8559)
O (0.6225, 0.6268, 0.1441)
O (0.6225, 0.9957, 0.3559)
O (0.6268, 0.0043, 0.8559)
O (0.6268, 0.6225, 0.6441)
O (0.9957, 0.3732, 0.6441)
O (0.9957, 0.6225, 0.8559)